No. 1
A relaxed Zr2IrRu crystal. Source: Alexandria, functional PBE-GGA.

Electronic total energy = -9.219 eV per atom
Energy relative to the elements = -0.4105 eV per atom
M_tot = 0.00 Bohr magnetons per cell
Space-group type = P4mm (99)
D(E_F) = 1.68 states/eV per cell

```
Zr2IrRu
1.0
3.6922 0.0000 0.0000
0.0000 3.6922 0.0000
0.0000 0.0000 5.6141
Zr Ir Ru
2 1 1
Cartesian
0.0000 0.0000 0.0000
1.8461 1.8461 2.0198
0.0000 0.0000 2.7968
1.8461 1.8461 4.8727
```

No. 2
A relaxed Zr3IrRu2 crystal. Source: Alexandria, functional PBE-GGA.

Electronic total energy = -9.535 eV per atom
Energy relative to the elements = -0.6924 eV per atom
M_tot = 0.00 Bohr magnetons per cell
Space-group type = P4/mmm (123)
D(E_F) = 2.47 states/eV per cell

```
Zr3IrRu2
1.0
3.3040 0.0000 0.0000
0.0000 3.3040 0.0000
0.0000 0.0000 9.7593
Zr Ir Ru
3 1 2
Cartesian
0.0000 0.0000 0.0000
0.0000 0.0000 3.2465
0.0000 0.0000 6.5127
1.6520 1.6520 4.8796
1.6520 1.6520 1.6305
1.6520 1.6520 8.1287
```

No. 3
A relaxed ZrIr4Ru crystal. Source: Alexandria, functional PBE-GGA.

Electronic total energy = -8.959 eV per atom
Energy relative to the elements = -0.0813 eV per atom
M_tot = 2.65 Bohr magnetons per cell
Space-group type = F-43m (216)
D(E_F) = 8.56 states/eV per cell

```
ZrIr4Ru
1.0
0.0000 3.6649 3.6649
3.6649 0.0000 3.6649
3.6649 3.6649 0.0000
Zr Ir Ru
1 4 1
Cartesian
0.0000 0.0000 0.0000
4.5778 2.7519 2.7519
2.7519 4.5778 2.7519
2.7519 2.7519 4.5778
4.5778 4.5778 4.5778
1.8324 1.8324 1.8324
```

No. 4
A relaxed Zr2IrRu crystal. Source: Alexandria, functional PBE-GGA.

Electronic total energy = -8.893 eV per atom
Energy relative to the elements = -0.0849 eV per atom
M_tot = 0.00 Bohr magnetons per cell
Space-group type = P4mm (99)
D(E_F) = 5.19 states/eV per cell

```
Zr2IrRu
1.0
3.1052 0.0000 0.0000
0.0000 3.1052 0.0000
0.0000 0.0000 7.9972
Zr Ir Ru
2 1 1
Cartesian
0.0000 0.0000 0.0000
1.5526 1.5526 2.8903
0.0000 0.0000 4.5331
1.5526 1.5526 6.4156
```

> Which value of D(E_F) does entry 3 give?

8.56 states/eV per cell